[1]
The following is a GGA-PBE calculation of crystalline La2TlAg at its relaxed geometry, from the Alexandria database.

POSCAR file:
```
La2TlAg
1.0
4.831 0.000 0.000
0.000 4.831 0.000
2.415 2.415 11.135
Tl Ag La
2 2 4
direct
0.000 0.000 0.000 Tl
0.750 0.250 0.500 Tl
0.500 0.500 0.000 Ag
0.250 0.750 0.500 Ag
0.875 0.879 0.750 La
0.375 0.371 0.750 La
0.629 0.125 0.250 La
0.121 0.625 0.250 La
```

Calculated values
Its space-group type is I-42d (122). The calculation puts the polymorph energy (0 for the lowest one) at 0.510 eV/atom. As for the formation energy: 16.2 kJ/mol of atoms. As for the magnetic moment: 0.00 μB per cell.

=====

[2]
The following is a GGA-PBE calculation of crystalline Tb3AlGe2 at its relaxed geometry, from the Alexandria database.

POSCAR file:
```
Tb3AlGe2
1.0
-1.226 -0.287 4.014
3.130 -11.244 0.152
10.708 3.028 3.487
Tb Ge Al
12 8 4
direct
0.250 0.381 0.056 Tb
0.750 0.881 0.444 Tb
0.750 0.200 0.299 Tb
0.250 0.700 0.201 Tb
0.250 0.437 0.374 Tb
0.250 0.119 0.556 Tb
0.250 0.063 0.874 Tb
0.750 0.619 0.944 Tb
0.750 0.563 0.626 Tb
0.250 0.800 0.701 Tb
0.750 0.937 0.126 Tb
0.750 0.300 0.799 Tb
0.250 0.497 0.813 Ge
0.750 0.315 0.520 Ge
0.250 0.685 0.480 Ge
0.750 0.185 0.020 Ge
0.750 0.997 0.687 Ge
0.250 0.815 0.980 Ge
0.250 0.003 0.313 Ge
0.750 0.503 0.187 Ge
0.750 0.632 0.366 Al
0.250 0.132 0.134 Al
0.750 0.868 0.866 Al
0.250 0.368 0.634 Al
```

Calculated values
Its space-group type is Pnma (62). As for the formation energy: -68.7 kJ/mol of atoms. As for the magnetic moment: 0.00 μB per cell.

=====

[3]
The following is a GGA-PBE calculation of crystalline ZrMnPb4 at its relaxed geometry, from the Alexandria database.

POSCAR file:
```
ZrMnPb4
1.0
-2.696 -4.772 3.074
-6.259 -0.292 0.481
-3.195 -4.380 -3.178
Mn Pb Zr
1 4 1
direct
0.000 0.000 0.000 Mn
0.375 0.375 0.874 Pb
0.375 0.375 0.375 Pb
0.375 0.874 0.375 Pb
0.874 0.375 0.375 Pb
0.750 0.750 0.750 Zr
```

Calculated values
Its space-group type is F-43m (216). As for the formation energy: 63.1 kJ/mol of atoms. As for the magnetic moment: 3.14 μB per cell.

=====

[4]
The following is a GGA-PBE calculation of crystalline CeDy7Tm12 at its relaxed geometry, from the Alexandria database.

POSCAR file:
```
CeDy7Tm12
1.0
9.116 0.000 -3.223
-4.558 7.895 -3.223
0.000 0.000 9.669
Dy Tm Ce
7 12 1
direct
0.000 0.500 0.500 Dy
0.500 0.500 0.000 Dy
0.500 0.000 0.000 Dy
0.000 0.000 0.500 Dy
0.500 0.500 0.500 Dy
0.000 0.500 0.000 Dy
0.500 0.000 0.500 Dy
0.743 0.744 0.487 Tm
0.513 0.257 0.256 Tm
0.487 0.743 0.744 Tm
0.000 0.257 0.744 Tm
0.256 0.000 0.743 Tm
0.744 0.487 0.743 Tm
0.743 0.256 0.000 Tm
0.257 0.744 0.000 Tm
0.256 0.513 0.257 Tm
0.000 0.743 0.256 Tm
0.257 0.256 0.513 Tm
0.744 0.000 0.257 Tm
0.000 0.000 0.000 Ce
```

Calculated values
Its space-group type is Im-3m (229). The calculation puts the polymorph energy (0 for the lowest one) at 0.494 eV/atom. As for the formation energy: 72.2 kJ/mol of atoms. As for the magnetic moment: 1.48 μB per cell.